P) Compound: KCaCl
Source: the Alexandria database
Functional: PBE
Structure: relaxed

The structure belongs to space group P3m1 (No. 156); the cell edges are 4.0792, 4.0792 and 7.6147 Å and the angles 90.00°, 90.00° and 120.00°. Symmetry generates all atoms from K at (0.0000, 0.0000, 0.0000), Ca at (0.6667, 0.3333, 0.4532) and Cl at (0.3333, 0.6667, 0.6997).

Q) Compound: KCaCl
Source: the Alexandria database
Functional: PBE
Structure: relaxed

The structure belongs to space group I4mm (No. 107); the cell edges are 3.761, 3.761 and 14.752 Å and the angles 90.00°, 90.00° and 90.00°. Symmetry generates all atoms from K at (0.000, 0.000, 0.000), Ca at (0.000, 0.000, 0.723) and Cl at (0.000, 0.000, 0.350).

Pick P): it beats the second-best structure by 106 meV/atom.

P) Compound: KCaCl
Source: the Alexandria database
Functional: PBE
Structure: relaxed

The structure belongs to space group Fmm2 (No. 42); the cell edges are 4.096, 7.142 and 15.770 Å and the angles 90.00°, 90.00° and 90.00°. Symmetry generates all atoms from K at (0.000, 0.000, 0.000), Ca at (0.000, 0.000, 0.721) and Cl at (0.000, 0.000, 0.346).

Q) Compound: KCaCl
Source: the Alexandria database
Functional: PBE
Structure: relaxed

The structure belongs to space group Amm2 (No. 38); the cell edges are 15.776, 4.048 and 7.024 Å and the angles 90.00°, 90.00° and 90.00°. Symmetry generates all atoms from K at (0.226, 0.000, 0.000), Ca at (0.000, 0.000, 0.668), Ca at (0.500, 0.000, 0.886) and Cl at (0.390, 0.000, 0.556).

Pick Q): it beats the second-best structure by 20 meV/atom.